Entry 1:
Below is a relaxed CoHPdPt2 crystal, with properties calculated at the GGA-PBEsol level.

Lattice parameters (Å, degrees): 4.807 4.807 4.452 90.00 90.00 90.00
Element x y z (fractional)
Co1 0.000 0.000 0.000
H1 0.500 0.500 0.000
Pd1 0.000 0.000 0.500
Pt1 0.000 0.500 0.500
Pt2 0.500 0.000 0.500

Properties
Total magnetic moment   3.37 μB/f.u.
Final energy   -4.116 eV/atom
D(E_F)   7.5 states/eV per cell
SG   P4/mmm (123)

Entry 2:
Below is a relaxed Cd3Pt crystal, with properties calculated at the GGA-PBEsol level.

Lattice parameters (Å, degrees): 5.168 5.168 5.168 133.23 133.23 68.29
Element x y z (fractional)
Cd1 0.000 0.000 0.000
Cd2 0.250 0.750 0.500
Cd3 0.750 0.250 0.500
Pt1 0.500 0.500 0.000

Properties
Energy relative to the elements   -0.207 eV per atom
Total magnetic moment   0.00 μB/f.u.
Final energy   -2.845 eV/atom
D(E_F)   1.1 states/eV per cell
SG   I4/mmm (139)